No. 1
# TbSmNiPt (PBE, optimized geometry)
data_TbSmNiPt
_chemical_formula_sum 'Tb1 Sm1 Ni1 Pt1'
_cell_length_a 4.386
_cell_length_b 5.545
_cell_length_c 5.545
_cell_angle_alpha 40.93
_cell_angle_beta 90.00
_cell_angle_gamma 90.00
_symmetry_space_group_name_H-M 'P 1'
_symmetry_Int_Tables_number 1
loop_
_symmetry_equiv_pos_as_xyz
'x,y,z'
loop_
_atom_site_label
_atom_site_fract_x
_atom_site_fract_y
_atom_site_fract_z
_atom_site_occupancy
Tb1 0.000 0.000 0.000 1
Sm1 0.500 0.720 0.720 1
Ni1 0.500 0.442 0.442 1
Pt1 0.000 0.285 0.285 1
# * ΔE_f: -0.8198 eV/atom



No. 2
# AcTm2Rh (PBE, optimized geometry)
data_AcTm2Rh
_chemical_formula_sum 'Ac1 Tm2 Rh1'
_cell_length_a 3.530
_cell_length_b 3.530
_cell_length_c 8.960
_cell_angle_alpha 90.00
_cell_angle_beta 90.00
_cell_angle_gamma 90.00
_symmetry_space_group_name_H-M 'P 1'
_symmetry_Int_Tables_number 1
loop_
_symmetry_equiv_pos_as_xyz
'x,y,z'
loop_
_atom_site_label
_atom_site_fract_x
_atom_site_fract_y
_atom_site_fract_z
_atom_site_occupancy
Ac1 0.000 0.000 0.000 1
Tm1 0.500 0.500 0.324 1
Tm2 0.500 0.500 0.676 1
Rh1 0.000 0.000 0.500 1
# * E above lowest polymorph: 0 meV/atom
# * ΔE_f: -0.4187 eV/atom



| no. | calculated total energy (eV/atom) | theoretical density (Mg/m³) |
| --- | --- | --- |
| 1 | -6.11 | 10.58 |
| 2 | -5.52 | 9.93 |